Here is an optimized crystal structure of Pm2Nd4SmMg from Alexandria. Energies are from PBE.

Calculated values
The energy of formation from the pure elements comes out at 0.6 kJ per mole of atoms. As for the density of states at the Fermi level: 1.2903 states/eV/atom. The space group is P2/m. The value obtained for the total energy is -4.35 eV per atom. The theoretical density is 6.49 g/cm³.

Cell: 5.098 5.083 10.280 Å, 90.00 90.05 90.00°
Sites, in units of the cell vectors:
Pm 0.000 0.000 0.000
Pm 0.500 0.500 0.500
Nd 0.000 0.500 0.246
Nd 0.000 0.500 0.754
Nd 0.500 0.000 0.246
Nd 0.500 0.000 0.754
Sm 0.000 0.000 0.500
Mg 0.500 0.500 0.000